Below is a geometry-optimized OsRuSeN2 structure, with properties calculated at the PBE level.

Properties
Relative energy among the computed polymorphs (meV per atom): 459
E_tot (eV/atom): -6.6288
Uncorrected formation energy (eV per formula unit): 7.497

a = 3.730 Å, b = 3.730 Å, c = 5.654 Å
α = 90.00°, β = 90.00°, γ = 90.00°
Last column: magnetic moment on the atom in μB.
Fractional coordinates of all 5 atoms:
N 0.000 0.500 0.000  0.21
Ru 0.000 0.000 0.000  -0.02
Os 0.500 0.500 0.500  1.84
N 0.500 0.000 0.000  0.21
Se 0.000 0.000 0.500  0.02



Below is a geometry-optimized ErTh2Pd4 structure, with properties calculated at the PBE level.

Properties
Energy of formation (eV per atom): -0.53
E_tot (eV/atom): -6.2678

a = 5.287 Å, b = 5.283 Å, c = 7.431 Å
α = 98.42°, β = 105.58°, γ = 114.55°
Fractional coordinates of all 7 atoms:
Pd 0.500 0.000 0.000
Th 0.391 0.296 0.687
Th 0.609 0.704 0.313
Er 0.000 0.000 0.000
Pd 0.015 0.335 0.350
Pd 0.000 0.500 0.000
Pd 0.985 0.665 0.650



Below is a geometry-optimized LiBiPt3 structure, with properties calculated at the PBE level.

Properties
Energy of formation (eV per atom): 0.21
Relative energy among the computed polymorphs (meV per atom): 0
E_tot (eV/atom): -4.5703

a = 4.437 Å, b = 4.437 Å, c = 4.437 Å
α = 90.00°, β = 90.00°, γ = 90.00°
Fractional coordinates of all 5 atoms:
Pt 0.500 0.000 0.000
Pt 0.000 0.500 0.000
Li 0.000 0.000 0.000
Pt 0.000 0.000 0.500
Bi 0.500 0.500 0.500



Below is a geometry-optimized Tb2TmZn2In2 structure, with properties calculated at the PBE level.

Properties
Energy of formation (eV per atom): -0.26
E_tot (eV/atom): -3.3730

a = 4.695 Å, b = 4.695 Å, c = 9.439 Å
α = 75.60°, β = 75.60°, γ = 60.00°
Fractional coordinates of all 7 atoms:
Tb 0.127 0.127 0.620
Tm 0.000 0.000 0.000
Zn 0.607 0.607 0.180
In 0.735 0.735 0.794
In 0.265 0.265 0.206
Tb 0.873 0.873 0.380
Zn 0.393 0.393 0.820